! DyTm6 | Alexandria | PBE-GGA | relaxed; values from VASP
! total moment: 0.00 μB/cell
! ΔH_f (0 K): 1.580 eV per atom
&SYSTEM
  ibrav = 0, nat = 7, ntyp = 2
/
ATOMIC_SPECIES
Dy 162.50 Dy.upf
Tm 168.93 Tm.upf
ATOMIC_POSITIONS angstrom
Dy 0.000 0.000 0.000
Tm 1.161 4.105 1.422
Tm -1.161 3.284 2.844
Tm 1.161 -0.821 4.267
Tm -1.161 0.821 4.267
Tm 3.484 0.000 2.844
Tm 3.484 2.463 1.422
CELL_PARAMETERS angstrom
6.967 0.000 0.000
-2.322 6.569 0.000
-2.322 -3.284 5.689